The following is a DFT calculation (PBE) of crystalline Tb2TmZrAs4 at its relaxed geometry.

Cell lengths 6.9985, 4.0388, 7.0027 Å; angles 90.00, 109.31, 90.00 degrees
Space group P2/m (No. 10)
Inequivalent atoms, fractional coordinates:
Tb  0.0000  0.0000  0.0000 x1
Tb  0.5000  0.5000  0.0000 x1
Tm  0.0000  0.5000  0.5000 x1
Zr  0.5000  0.0000  0.5000 x1
As  0.2522  0.0000  0.7410 x2
As  0.2587  0.5000  0.2620 x2

Properties
**Magnetic moment**: 0.00 Bohr magnetons per cell
**Energy relative to the elements**: -1.4295 eV/atom
**Energy**: -52.31 eV/f.u.